1.
Computed, not measured: RbYAuF2 after structural relaxation at the PBE level of DFT.

Cell and atoms, written as POSCAR:
```
RbYAuF2
1.0
4.544 0.000 0.000
0.000 4.544 0.000
0.000 0.000 6.083
Rb Y Au F
1 1 1 2
Cartesian
0.000 0.000 0.000
2.272 2.272 3.041
2.272 2.272 0.000
0.000 2.272 3.041
2.272 0.000 3.041
```

Values from the calculation:
V = 125.6 Å³ per cell
ΔE_f (raw) = -2.246 eV/atom
Crystal system = tetragonal
Space-group type = P4/mmm (123)

2.
Computed, not measured: Rb2YAuF6 after structural relaxation at the PBE level of DFT.

Cell and atoms, written as POSCAR:
```
Rb2YAuF6
1.0
-3.539 3.539 4.296
3.539 -3.539 4.296
3.539 3.539 -4.296
Rb Y Au F
2 1 1 6
Cartesian
3.539 0.000 2.148
0.000 3.539 2.148
0.000 0.000 0.000
0.000 0.000 4.296
1.529 1.529 0.000
2.010 -2.010 4.296
0.000 0.000 2.208
0.000 0.000 6.384
-2.010 2.010 4.296
2.010 2.010 4.296
```

Values from the calculation:
V = 215.2 Å³ per cell
ΔE_f (raw) = -2.776 eV/atom
Crystal system = tetragonal
Space-group type = I4/mmm (139)

3.
Computed, not measured: RbZnAuF6 after structural relaxation at the PBE level of DFT.

Cell and atoms, written as POSCAR:
```
RbZnAuF6
1.0
5.548 0.000 0.000
-2.303 5.299 0.000
-0.322 -0.274 5.967
Rb Zn Au F
1 1 1 6
Cartesian
0.000 0.000 0.000
0.054 3.556 3.061
2.799 1.657 3.002
-1.043 1.791 4.015
-1.143 3.396 1.620
1.092 1.722 2.023
-0.250 4.732 4.514
3.444 0.035 2.061
1.999 3.219 3.924
```

Values from the calculation:
V = 175.4 Å³ per cell
ΔE_f (raw) = -1.856 eV/atom
Crystal system = triclinic
Space-group type = P1 (1)

4.
Computed, not measured: Rb2ZnAuF6 after structural relaxation at the PBE level of DFT.

Cell and atoms, written as POSCAR:
```
Rb2ZnAuF6
1.0
-3.150 3.150 4.249
3.150 -3.150 4.249
3.150 3.150 -4.249
Rb Zn Au F
2 1 1 6
Cartesian
3.150 0.000 2.124
0.000 3.150 2.124
0.000 0.000 0.000
0.000 0.000 4.249
1.420 1.420 0.000
1.730 -1.730 4.249
0.000 0.000 2.158
0.000 0.000 6.339
-1.730 1.730 4.249
1.730 1.730 4.249
```

Values from the calculation:
V = 168.6 Å³ per cell
ΔE_f (raw) = -2.064 eV/atom
Crystal system = tetragonal
Space-group type = I4/mmm (139)

- Number 1 is which compound?
  RbYAuF2

What did the fourth record say?
Computed, not measured: Rb2ZnAuF6 after structural relaxation at the PBE level of DFT.

Cell and atoms, written as POSCAR:
```
Rb2ZnAuF6
1.0
-3.150 3.150 4.249
3.150 -3.150 4.249
3.150 3.150 -4.249
Rb Zn Au F
2 1 1 6
Cartesian
3.150 0.000 2.124
0.000 3.150 2.124
0.000 0.000 0.000
0.000 0.000 4.249
1.420 1.420 0.000
1.730 -1.730 4.249
0.000 0.000 2.158
0.000 0.000 6.339
-1.730 1.730 4.249
1.730 1.730 4.249
```

Values from the calculation:
V = 168.6 Å³ per cell
ΔE_f (raw) = -2.064 eV/atom
Crystal system = tetragonal
Space-group type = I4/mmm (139)

- ΔE_f (raw) of number 4 (Rb2ZnAuF6)?
  -2.064 eV/atom